Record 1
A relaxed structure of TePPtO2, computed with GGA-PBE.

Values from the calculation:
The energy relative to the lowest polymorph listed for this composition comes out at 0.0817 eV/atom. The density of states at the Fermi level comes out at 0.824 states/eV/atom. As for the calculated density: 8.13 Mg/m³. The calculation puts the total energy at -4.7537 eV/atom.

a b c (Å): 3.9716 3.9716 4.9939
angles (deg): 90.00 90.00 90.00
Last column: nearest neighbours and their distance in Å.
Positions (direct):
O1 0.5000 0.0000 0.0000  2 Pt 1.99
O2 0.0000 0.5000 0.0000  2 Pt 1.99
Pt1 0.0000 0.0000 0.0000  4 O 1.99
P1 0.0000 0.0000 0.5000  2 Pt 2.50
Te1 0.5000 0.5000 0.5000  4 P 2.81

Record 2
A relaxed structure of Cd2ReP, computed with GGA-PBE.

Values from the calculation:
The calculated formation energy is 715.0 meV per atom. The density of states at the Fermi level comes out at 1.123 states/eV/atom. As for the calculated density: 10.11 Mg/m³. The calculation puts the total energy at -4.2070 eV/atom.

a b c (Å): 2.8243 2.8243 9.1016
angles (deg): 90.00 90.00 90.00
Last column: nearest neighbours and their distance in Å.
Positions (direct):
Cd1 0.0000 0.0000 0.9933  4 Cd 2.82, 4 Re 2.98, 4 P 3.07
Cd2 0.0000 0.0000 0.5067  4 Cd 2.82, 4 Re 2.98, 4 P 3.07
P1 0.5000 0.5000 0.2500  4 P 2.82, 8 Cd 3.07
Re1 0.5000 0.5000 0.7500  4 Re 2.82, 8 Cd 2.98